Record 1
A relaxed Ac5Nd5Dy2 crystal. Source: Alexandria via LeMat-Bulk, functional PBE.

Results
formation enthalpy at 0 K = 0.0740 eV/atom
E_tot = -4.3915 eV per atom
density of states at the Fermi level = 1.53 states/eV per atom
size of the total moment = 0.0 μB per formula unit

a b c (Å): 5.9695 9.5260 9.5611
angles (deg): 66.06 71.81 71.74
Fractional coordinates of all 12 atoms:
Nd: 0.6234 0.7071 0.0461
Nd: 0.3775 0.9611 0.2840
Nd: 0.3766 0.2929 0.9539
Ac: 0.2517 0.7388 0.7579
Nd: 0.5000 0.5000 0.5000
Dy: 0.1269 0.5452 0.2011
Ac: 0.8782 0.7841 0.4595
Ac: 0.7483 0.2612 0.2421
Ac: 0.0000 0.0000 0.0000
Ac: 0.1218 0.2159 0.5405
Nd: 0.6225 0.0389 0.7160
Dy: 0.8731 0.4548 0.7989


Record 2
A relaxed Li3InPb crystal. Source: Alexandria via LeMat-Bulk, functional PBE.

Results
formation enthalpy at 0 K = -0.2755 eV/atom
energy above the most stable polymorph in this dataset = 0 meV/atom
E_tot = -2.7131 eV per atom
density of states at the Fermi level = 0.17 states/eV per atom
size of the total moment = 0.0 μB per formula unit

a b c (Å): 4.9065 5.3693 8.1028
angles (deg): 72.48 90.00 90.00
Fractional coordinates of all 10 atoms:
Pb: 0.2500 0.0589 0.1238
Li: 0.2500 0.6307 0.9246
In: 0.7500 0.1904 0.4622
Li: 0.2500 0.4526 0.3157
Pb: 0.7500 0.9411 0.8762
Li: 0.7500 0.5474 0.6843
Li: 0.2500 0.2385 0.7038
Li: 0.7500 0.7615 0.2962
Li: 0.7500 0.3693 0.0754
In: 0.2500 0.8096 0.5378


Record 3
A relaxed La2DyTm3 crystal. Source: Alexandria via LeMat-Bulk, functional PBE.

Results
formation enthalpy at 0 K = 0.2475 eV/atom
energy above the most stable polymorph in this dataset = 170 meV/atom
E_tot = -4.3978 eV per atom
density of states at the Fermi level = 1.51 states/eV per atom
size of the total moment = 0.0 μB per formula unit

a b c (Å): 6.4543 8.1271 8.1271
angles (deg): 70.16 90.00 90.00
Fractional coordinates of all 12 atoms:
Tm: 0.0804 0.3808 0.7547
La: 0.5622 0.8651 0.4935
Dy: 0.8453 0.8311 0.8311
Tm: 0.8276 0.0778 0.0778
Tm: 0.0804 0.7547 0.3808
La: 0.0622 0.1349 0.5065
La: 0.0622 0.5065 0.1349
Tm: 0.3276 0.9222 0.9222
La: 0.5622 0.4935 0.8651
Tm: 0.5804 0.6192 0.2453
Tm: 0.5804 0.2453 0.6192
Dy: 0.3453 0.1689 0.1689


Record 4
A relaxed Pm2Nd5Ho4 crystal. Source: Alexandria via LeMat-Bulk, functional PBE.

Results
formation enthalpy at 0 K = 0.0706 eV/atom
energy above the most stable polymorph in this dataset = 0 meV/atom
E_tot = -4.6249 eV per atom
density of states at the Fermi level = 1.40 states/eV per atom
size of the total moment = 0.0 μB per formula unit

a b c (Å): 3.5603 11.7168 9.0956
angles (deg): 93.89 101.29 90.00
Fractional coordinates of all 11 atoms:
Pm: 0.7165 0.3518 0.4329
Nd: 0.1761 0.0698 0.3522
Ho: 0.6398 0.7971 0.2797
Nd: 0.5000 0.0000 0.0000
Nd: 0.8239 0.9302 0.6478
Ho: 0.3602 0.2029 0.7203
Ho: 0.9672 0.7412 0.9343
Nd: 0.0957 0.5354 0.1914
Ho: 0.0328 0.2588 0.0657
Nd: 0.9043 0.4646 0.8086
Pm: 0.2835 0.6482 0.5671


Record 5
A relaxed Os2W crystal. Source: Alexandria via LeMat-Bulk, functional PBE.

Results
formation enthalpy at 0 K = 1.3446 eV/atom
energy above the most stable polymorph in this dataset = 1345 meV/atom
E_tot = -10.4596 eV per atom
density of states at the Fermi level = 1.25 states/eV per atom
size of the total moment = 0.0 μB per formula unit

a b c (Å): 6.0719 6.0719 6.0719
angles (deg): 90.00 90.00 90.00
Fractional coordinates of all 12 atoms:
Os: 0.1145 0.8855 0.3855
Os: 0.3855 0.1145 0.8855
Os: 0.1145 0.6145 0.8855
W: 0.5000 0.0000 0.5000
W: 0.0000 0.0000 0.0000
Os: 0.6145 0.8855 0.1145
W: 0.0000 0.5000 0.5000
Os: 0.8855 0.3855 0.1145
Os: 0.3855 0.3855 0.3855
Os: 0.6145 0.6145 0.6145
W: 0.5000 0.5000 0.0000
Os: 0.8855 0.1145 0.6145


Record 6
A relaxed Y2TeP2 crystal. Source: Alexandria via LeMat-Bulk, functional PBE.

Results
energy above the most stable polymorph in this dataset = 159 meV/atom
E_tot = -6.4219 eV per atom
density of states at the Fermi level = 0.31 states/eV per atom
size of the total moment = 0.0 μB per formula unit

a b c (Å): 7.9688 7.9688 3.8457
angles (deg): 90.00 90.00 90.00
Fractional coordinates of all 10 atoms:
P: 0.1000 0.6000 0.5000
Te: 0.5000 0.5000 0.0000
Y: 0.6656 0.1656 0.0000
Te: 0.0000 0.0000 0.0000
Y: 0.1656 0.3344 0.0000
P: 0.4000 0.1000 0.5000
Y: 0.3344 0.8344 0.0000
Y: 0.8344 0.6656 0.0000
P: 0.9000 0.4000 0.5000
P: 0.6000 0.9000 0.5000